1.
This record from Alexandria describes a relaxed K2ErI6 crystal. The functional is PBE.

The structure in POSCAR format:
```
K2ErI6
1.0
4.0346 0.0000 0.0000
0.0000 9.6624 4.7405
0.0000 -9.6624 4.7405
K Er I
2 1 6
direct
0.0000 0.1591 0.8409
0.0000 0.8409 0.1591
0.5000 0.4571 0.4571
0.0000 0.2670 0.4908
0.0000 0.4908 0.2670
0.0000 0.7079 0.7079
0.5000 0.1020 0.1020
0.5000 0.4921 0.9284
0.5000 0.9284 0.4921
```

Output
As for the space-group type: No. 38. Its mass density is 4.5 g/cm3. Its density of states at the Fermi level is 9.0 states/eV per cell. The calculation puts the total energy at -2.91 eV/atom. For the volume, the calculation gives 369.6 Å³/f.u. For the uncorrected formation energy, the calculation gives -1.131 eV/atom.

2.
This record from Alexandria describes a relaxed K3ErI6 crystal. The functional is PBE.

The structure in POSCAR format:
```
K3ErI6
1.0
8.3896 0.0000 0.0000
0.0000 9.0134 0.0000
-8.2681 0.0000 12.1708
K Er I
6 2 12
direct
0.0000 0.0000 0.0000
0.0000 0.5000 0.5000
0.2091 0.0908 0.7470
0.2091 0.4092 0.2470
0.7909 0.5908 0.7530
0.7909 0.9092 0.2530
0.5000 0.0000 0.5000
0.5000 0.5000 0.0000
0.1452 0.1746 0.4374
0.1452 0.3254 0.9374
0.2660 0.7156 0.4267
0.2660 0.7844 0.9267
0.4078 0.0476 0.2716
0.4078 0.4524 0.7716
0.5922 0.5476 0.2284
0.5922 0.9524 0.7284
0.7340 0.2156 0.0733
0.7340 0.2844 0.5733
0.8548 0.6746 0.0626
0.8548 0.8254 0.5626
```

Output
As for the space-group type: No. 14. Its mass density is 3.8 g/cm3. Its density of states at the Fermi level is 0.0 states/eV per cell. The calculation puts the total energy at -3.16 eV/atom. For the volume, the calculation gives 460.2 Å³/f.u. For the uncorrected formation energy, the calculation gives -1.447 eV/atom.

> The highest total energy belongs to which entry?

K2ErI6